#1
An optimized crystal structure of Nd3Y8Er2. Source: Alexandria, functional PBE-GGA.

As for the spin magnetization: 0.00 μB/f.u. The volume is 34.501 Å³/atom. The density of states at the Fermi level is 16.8 states/eV/cell.

```
13
Lattice="7.408 -4.598 0.000 7.408 4.598 0.000 -2.229 0.000 6.583" Properties=species:S:1:pos:R:3 pbc="T T T"
Nd 0.000 0.000 0.000
Nd 6.293 2.992 3.292
Nd 6.293 -2.992 3.292
Y 0.835 0.000 5.916
Y 3.818 1.656 5.382
Y 5.499 0.000 1.795
Y 8.768 1.656 1.202
Y 3.818 -1.656 5.382
Y 7.087 0.000 4.789
Y 8.768 -1.656 1.202
Y 11.752 0.000 0.668
Er 2.173 0.000 2.797
Er 10.414 0.000 3.786
```



#2
An optimized crystal structure of Nd3Y8Er2. Source: Alexandria, functional PBE-GGA.

As for the spin magnetization: 0.00 μB/f.u. The volume is 34.103 Å³/atom. The density of states at the Fermi level is 22.8 states/eV/cell.

```
13
Lattice="10.035 -3.877 0.000 10.035 3.877 0.000 -0.002 0.000 5.698" Properties=species:S:1:pos:R:3 pbc="T T T"
Nd 0.000 0.000 0.000
Nd 10.034 1.614 2.849
Nd 10.034 -1.614 2.849
Y 2.714 0.000 2.848
Y 7.844 1.620 5.697
Y 6.544 0.000 2.846
Y 12.224 1.620 0.001
Y 7.844 -1.620 5.697
Y 13.524 0.000 2.852
Y 12.224 -1.620 0.001
Y 17.354 0.000 2.850
Er 4.837 0.000 5.695
Er 15.231 0.000 0.003
```



Most favorable first, least favorable last: #1, #2